No. 1
8
Lattice="10.308 0.000 0.000 0.000 2.966 0.000 -0.896 0.000 6.300" Properties=species:S:1:pos:R:3 comment="BeAg2Cl, relaxed, DFT PBE-GGA" volume_a3_per_cell=192.6 total_magnetization_mub_per_fu=0.00 final_energy_ev_per_atom=-2.93 space_group="Cm, No. 8" e_above_lowest_polymorph_ev_per_atom=0.0000 raw_formation_energy_ev_per_atom=-0.11 dos_at_fermi_per_ev_cell=1.877 pbc="T T T"
Be 0.000 0.000 0.000
Be 5.154 1.483 0.000
Ag 1.461 1.483 1.479
Ag 3.840 0.000 1.573
Ag 6.615 0.000 1.479
Ag 8.994 1.483 1.573
Cl 4.254 0.000 4.903
Cl 9.408 1.483 4.903

No. 2
9
Lattice="7.549 0.000 0.000 -3.774 6.538 0.000 0.000 0.000 3.959" Properties=species:S:1:pos:R:3 comment="Ac2PmCu6, relaxed, DFT PBE-GGA" volume_a3_per_cell=195.4 total_magnetization_mub_per_fu=0.00 ef_ev_per_atom=-0.199 final_energy_ev_per_atom=-4.37 space_group="P6/mmm, No. 191" dos_at_fermi_per_ev_cell=5.303 pbc="T T T"
Ac 0.000 4.358 0.000
Ac 3.775 2.179 0.000
Pm 0.000 0.000 0.000
Cu -1.243 2.154 1.979
Cu -2.531 4.384 1.979
Cu 2.487 0.000 1.979
Cu 1.243 2.154 1.979
Cu 5.062 0.000 1.979
Cu 2.531 4.384 1.979

No. 3
10
Lattice="-3.323 6.258 2.900 3.323 -6.258 2.900 3.323 6.258 -2.900" Properties=species:S:1:pos:R:3 comment="K2BeS2, relaxed, DFT PBE-GGA" volume_a3_per_cell=241.3 total_magnetization_mub_per_fu=0.00 final_energy_ev_per_atom=-3.98 space_group="Ibam, No. 72" e_above_lowest_polymorph_ev_per_atom=0.0000 raw_formation_energy_ev_per_atom=-1.14 dos_at_fermi_per_ev_cell=0.000 pbc="T T T"
K 1.137 1.824 0.000
K 1.137 -1.824 2.900
K 2.187 8.082 0.000
K 2.187 4.434 2.900
Be 3.323 0.000 1.450
Be 0.000 6.258 1.450
S 4.441 1.173 0.000
S 1.117 5.085 0.000
S 2.206 1.173 2.900
S -1.117 5.085 2.900

No. 4
20
Lattice="5.061 2.922 4.389 -5.061 2.922 4.389 0.000 -5.844 4.389" Properties=species:S:1:pos:R:3 comment="Cd3Ag6Pt, relaxed, DFT PBE-GGA" volume_a3_per_cell=389.4 total_magnetization_mub_per_fu=0.00 ef_ev_per_atom=0.039 final_energy_ev_per_atom=-2.55 space_group="R-3, No. 148" dos_at_fermi_per_ev_cell=6.659 pbc="T T T"
Cd -2.705 -0.836 7.101
Cd -0.629 -2.760 6.065
Cd -2.076 1.925 6.065
Cd 2.076 -1.925 7.101
Cd 0.629 2.760 7.101
Cd 2.705 0.836 6.065
Ag -0.568 -3.425 3.353
Ag -2.682 2.205 3.353
Ag -1.622 -0.406 4.084
Ag -3.250 -1.221 9.813
Ag 1.162 -1.201 4.084
Ag 0.459 1.607 4.084
Ag -0.459 -1.607 9.082
Ag -1.162 1.201 9.082
Ag 3.250 1.221 3.353
Ag 1.622 0.406 9.082
Ag 2.682 -2.205 9.813
Ag 0.568 3.425 9.813
Pt 0.000 0.000 0.000
Pt 0.000 0.000 6.583

Please write out number 1 again, unchanged.
8
Lattice="10.308 0.000 0.000 0.000 2.966 0.000 -0.896 0.000 6.300" Properties=species:S:1:pos:R:3 comment="BeAg2Cl, relaxed, DFT PBE-GGA" volume_a3_per_cell=192.6 total_magnetization_mub_per_fu=0.00 final_energy_ev_per_atom=-2.93 space_group="Cm, No. 8" e_above_lowest_polymorph_ev_per_atom=0.0000 raw_formation_energy_ev_per_atom=-0.11 dos_at_fermi_per_ev_cell=1.877 pbc="T T T"
Be 0.000 0.000 0.000
Be 5.154 1.483 0.000
Ag 1.461 1.483 1.479
Ag 3.840 0.000 1.573
Ag 6.615 0.000 1.479
Ag 8.994 1.483 1.573
Cl 4.254 0.000 4.903
Cl 9.408 1.483 4.903